Material: ZnFe2Cl
Method: DFT, GGA-PBE
State: relaxed

Output
Polymorph energy (0 for the lowest one): 37 meV/atom
Formation energy without anion corrections: 104 meV/atom
Uncorrected energy: -4.907 eV per atom

Structure (extended XYZ):
```
4
Lattice="-1.605 2.208 -1.367 -2.032 -2.069 -0.955 -3.800 0.957 6.010" Properties=species:S:1:pos:R:3 pbc="T T T"
Zn -1.540 0.388 2.436
Fe -0.140 0.035 0.221
Fe -2.630 0.274 0.122
Cl -5.028 0.878 3.915
```


Material: Ac4Ga3AgO12
Method: DFT, GGA-PBE
State: relaxed

Output
Formation energy without anion corrections: -2330 meV/atom
Uncorrected energy: -6.723 eV per atom

Structure (extended XYZ):
```
20
Lattice="6.983 0.000 0.000 -2.328 6.583 0.000 -2.328 -3.292 5.701" Properties=species:S:1:pos:R:3 pbc="T T T"
Ac 1.164 1.646 2.851
Ac -1.164 -1.646 2.851
Ac 3.491 0.000 0.000
Ac -1.164 3.292 0.000
Ga 2.328 -1.646 2.851
Ga 2.328 3.292 0.000
Ga -2.328 1.646 2.851
Ag 0.000 0.000 0.000
O -1.164 0.823 4.276
O 3.435 -2.429 4.207
O 1.220 -0.863 1.494
O 3.491 2.469 1.425
O 3.435 4.858 0.000
O 1.220 1.726 0.000
O 3.491 0.000 2.851
O -1.164 3.292 2.851
O 1.164 -0.823 4.276
O -3.435 2.429 4.207
O 1.164 4.115 1.425
O -1.220 0.863 1.494
```


Material: RbAcTlCd
Method: DFT, GGA-PBE
State: relaxed

Output
Uncorrected energy: -2.148 eV per atom
Energy relative to the elements: -58 meV/atom

Structure (extended XYZ):
```
4
Lattice="-2.978 -2.180 4.629 -0.718 -5.849 0.569 2.882 -2.936 4.257" Properties=species:S:1:pos:R:3 pbc="T T T"
Ac -0.407 -5.483 4.728
Tl -0.203 -2.741 2.364
Rb 0.000 0.000 0.000
Cd -0.610 -8.224 7.092
```


Material: Tb2SmHo4Er
Method: DFT, GGA-PBE
State: relaxed

Output
Uncorrected energy: -4.588 eV per atom
Energy relative to the elements: 19 meV/atom

Structure (extended XYZ):
```
8
Lattice="-0.380 3.959 -3.043 -1.410 -3.011 -3.741 -10.996 -1.862 -1.049" Properties=species:S:1:pos:R:3 pbc="T T T"
Tb -10.996 -1.862 -1.049
Tb -5.688 1.048 -2.046
Sm -0.895 0.474 -3.392
Ho -9.287 -3.656 -3.596
Ho -3.498 2.742 -4.236
Ho -4.013 -0.743 -4.585
Ho -8.773 -0.171 -3.248
Er -6.203 -2.436 -2.395
```


Look up the uncorrected energy of the first one.
-4.907 eV per atom